a | LiZrTa PBE optimized geometry; D(E_F) = 0.900 states/eV/atom; space-group type = I4mm (107); calculated density = 7.640 g cm⁻³; volume = 60.7 Å³ per cell
1.0
-1.443 1.443 7.283
1.443 -1.443 7.283
1.443 1.443 -7.283
Li Zr Ta
1 1 1
direct
0.000 0.000 0.000 Li
0.683 0.683 0.000 Zr
0.336 0.336 0.000 Ta

b | LiZrTa PBE optimized geometry; D(E_F) = 0.871 states/eV/atom; space-group type = Imm2 (44); calculated density = 8.334 g cm⁻³; volume = 55.6 Å³ per cell
1.0
-1.513 1.929 4.763
1.513 -1.929 4.763
1.513 1.929 -4.763
Li Zr Ta
1 1 1
direct
0.000 0.000 0.000 Li
0.330 0.330 0.000 Zr
0.655 0.655 0.000 Ta

c | LiZrTa PBE optimized geometry; D(E_F) = 1.547 states/eV/atom; space-group type = F-43m (216); calculated density = 7.979 g cm⁻³; volume = 58.1 Å³ per cell
1.0
0.000 3.074 3.074
3.074 0.000 3.074
3.074 3.074 0.000
Li Zr Ta
1 1 1
direct
0.000 0.000 0.000 Li
0.750 0.750 0.750 Zr
0.250 0.250 0.250 Ta

d | LiZrTa PBE optimized geometry; D(E_F) = 0.898 states/eV/atom; space-group type = P3m1 (156); calculated density = 7.771 g cm⁻³; volume = 59.6 Å³ per cell
1.0
2.900 0.000 0.000
-1.450 2.512 0.000
0.000 0.000 8.188
Li Zr Ta
1 1 1
direct
0.000 0.000 0.000 Li
0.333 0.667 0.653 Zr
0.667 0.333 0.319 Ta

Stability summary: most stable a, least stable c.

a | LiZrTa PBE optimized geometry; D(E_F) = 1.213 states/eV/atom; space-group type = R-3m (166); calculated density = 7.519 g cm⁻³; volume = 123.3 Å³ per cell
1.0
1.466 0.846 16.557
-1.466 0.846 16.557
0.000 -1.693 16.557
Li Zr Ta
2 2 2
direct
0.139 0.139 0.139 Li
0.861 0.861 0.861 Li
0.249 0.249 0.249 Zr
0.751 0.751 0.751 Zr
0.308 0.308 0.308 Ta
0.692 0.692 0.692 Ta

b | LiZrTa PBE optimized geometry; D(E_F) = 0.930 states/eV/atom; space-group type = P3m1 (156); calculated density = 8.312 g cm⁻³; volume = 111.5 Å³ per cell
1.0
4.694 0.000 0.000
-2.347 4.065 0.000
0.000 0.000 5.844
Li Zr Ta
2 2 2
direct
0.000 0.000 0.000 Li
0.333 0.667 0.647 Li
0.333 0.667 0.169 Zr
0.667 0.333 0.807 Zr
0.000 0.000 0.490 Ta
0.667 0.333 0.338 Ta

c | LiZrTa PBE optimized geometry; D(E_F) = 1.223 states/eV/atom; space-group type = Fmm2 (42); calculated density = 7.676 g cm⁻³; volume = 60.4 Å³ per cell
1.0
0.000 2.285 7.602
1.738 0.000 7.602
1.738 2.285 0.000
Li Zr Ta
1 1 1
direct
0.000 0.000 0.000 Li
0.319 0.319 0.681 Zr
0.666 0.666 0.334 Ta

d | LiZrTa PBE optimized geometry; D(E_F) = 0.645 states/eV/atom; space-group type = P1 (1); calculated density = 7.903 g cm⁻³; volume = 117.3 Å³ per cell
1.0
2.849 0.000 0.000
-1.416 5.832 0.000
-1.422 -0.988 7.061
Li Zr Ta
2 2 2
direct
0.000 0.000 0.000 Li
0.419 0.134 0.697 Li
0.269 0.538 0.994 Zr
0.815 0.281 0.345 Zr
0.080 0.796 0.356 Ta
0.654 0.646 0.655 Ta

Stability summary: most stable c, least stable a.

a | LiTb3 PBE optimized geometry; D(E_F) = 1.697 states/eV/atom; space-group type = P6_3/mmc (194); calculated density = 6.764 g cm⁻³; volume = 237.5 Å³ per cell
1.0
7.033 0.000 0.000
-3.517 6.091 0.000
0.000 0.000 5.544
Li Tb
2 6
direct
0.333 0.667 0.250 Li
0.667 0.333 0.750 Li
0.169 0.338 0.750 Tb
0.169 0.831 0.750 Tb
0.338 0.169 0.250 Tb
0.662 0.831 0.750 Tb
0.831 0.169 0.250 Tb
0.831 0.662 0.250 Tb

b | LiTb3 PBE optimized geometry; D(E_F) = 1.402 states/eV/atom; space-group type = Pmm2 (25); calculated density = 6.557 g cm⁻³; volume = 122.5 Å³ per cell
1.0
3.325 0.000 0.000
0.000 3.401 0.000
0.000 0.000 10.833
Li Tb
1 3
direct
0.000 0.000 0.000 Li
0.000 0.500 0.259 Tb
0.500 0.000 0.493 Tb
0.500 0.500 0.773 Tb

Stability summary: most stable a, least stable b.

a | LiTb3 PBE optimized geometry; D(E_F) = 0.806 states/eV/atom; space-group type = Fm-3m (225); calculated density = 6.845 g cm⁻³; volume = 117.3 Å³ per cell
1.0
0.000 3.886 3.886
3.886 0.000 3.886
3.886 3.886 0.000
Li Tb
1 3
direct
0.000 0.000 0.000 Li
0.250 0.250 0.250 Tb
0.500 0.500 0.500 Tb
0.750 0.750 0.750 Tb

b | LiTb3 PBE optimized geometry; D(E_F) = 1.303 states/eV/atom; space-group type = Immm (71); calculated density = 6.937 g cm⁻³; volume = 115.8 Å³ per cell
1.0
-1.877 2.749 5.613
1.877 -2.749 5.613
1.877 2.749 -5.613
Li Tb
1 3
direct
0.000 0.000 0.000 Li
0.226 0.726 0.500 Tb
0.500 0.500 0.000 Tb
0.774 0.274 0.500 Tb

c | LiTb3 PBE optimized geometry; D(E_F) = 1.625 states/eV/atom; space-group type = Pm-3m (221); calculated density = 6.850 g cm⁻³; volume = 117.3 Å³ per cell
1.0
4.895 0.000 0.000
0.000 4.895 0.000
0.000 0.000 4.895
Li Tb
1 3
direct
0.000 0.000 0.000 Li
0.000 0.500 0.500 Tb
0.500 0.000 0.500 Tb
0.500 0.500 0.000 Tb

Stability summary: most stable b, least stable c.

a | LiTb PBE optimized geometry; D(E_F) = 0.884 states/eV/atom; space-group type = P4/nmm (129); calculated density = 5.286 g cm⁻³; volume = 104.2 Å³ per cell
1.0
3.661 0.000 0.000
0.000 3.661 0.000
0.000 0.000 7.776
Li Tb
2 2
direct
0.250 0.250 0.085 Li
0.750 0.750 0.915 Li
0.250 0.250 0.648 Tb
0.750 0.750 0.352 Tb

b | LiTb PBE optimized geometry; D(E_F) = 1.039 states/eV/atom; space-group type = Pm-3m (221); calculated density = 5.335 g cm⁻³; volume = 51.6 Å³ per cell
1.0
3.724 0.000 0.000
0.000 3.724 0.000
0.000 0.000 3.724
Li Tb
1 1
direct
0.000 0.000 0.000 Li
0.500 0.500 0.500 Tb

Stability summary: most stable a, least stable b.

a | LiTbTe PBE optimized geometry; D(E_F) = 0.756 states/eV/atom; space-group type = I4mm (107); calculated density = 6.550 g cm⁻³; volume = 74.4 Å³ per cell
1.0
-1.897 1.897 5.169
1.897 -1.897 5.169
1.897 1.897 -5.169
Li Tb Te
1 1 1
direct
0.000 0.000 0.000 Li
0.300 0.300 0.000 Tb
0.617 0.617 0.000 Te

b | LiTbTe PBE optimized geometry; D(E_F) = 0.583 states/eV/atom; space-group type = C2/m (12); calculated density = 5.686 g cm⁻³; volume = 171.4 Å³ per cell
1.0
3.674 -2.066 0.000
3.674 2.066 0.000
-1.894 0.000 11.289
Li Tb Te
2 2 2
direct
0.109 0.109 0.396 Li
0.891 0.891 0.604 Li
0.305 0.305 0.877 Tb
0.695 0.695 0.123 Tb
0.412 0.412 0.303 Te
0.588 0.588 0.697 Te

c | LiTbTe PBE optimized geometry; D(E_F) = 0.551 states/eV/atom; space-group type = Pnma (62); calculated density = 6.890 g cm⁻³; volume = 282.9 Å³ per cell
1.0
7.473 0.000 0.000
0.000 4.157 0.000
0.000 0.000 9.106
Li Tb Te
4 4 4
direct
0.138 0.250 0.061 Li
0.362 0.750 0.561 Li
0.638 0.250 0.439 Li
0.862 0.750 0.939 Li
0.042 0.250 0.658 Tb
0.458 0.750 0.158 Tb
0.542 0.250 0.842 Tb
0.958 0.750 0.342 Tb
0.229 0.750 0.865 Te
0.271 0.250 0.365 Te
0.729 0.750 0.635 Te
0.771 0.250 0.135 Te

Stability summary: most stable c, least stable a.

a | LiTb4Te5 PBE optimized geometry; D(E_F) = 0.456 states/eV/atom; space-group type = I4 (79); calculated density = 7.317 g cm⁻³; volume = 290.6 Å³ per cell
1.0
-4.861 4.861 3.075
4.861 -4.861 3.075
4.861 4.861 -3.075
Li Tb Te
1 4 5
direct
0.000 0.000 0.000 Li
0.191 0.590 0.794 Tb
0.397 0.191 0.600 Tb
0.590 0.796 0.400 Tb
0.796 0.397 0.206 Tb
0.090 0.283 0.386 Te
0.283 0.897 0.192 Te
0.495 0.495 0.000 Te
0.704 0.090 0.808 Te
0.897 0.704 0.614 Te

b | LiTb4Te5 PBE optimized geometry; D(E_F) = 0.386 states/eV/atom; space-group type = I4/mmm (139); calculated density = 7.231 g cm⁻³; volume = 294.1 Å³ per cell
1.0
-2.180 2.180 15.473
2.180 -2.180 15.473
2.180 2.180 -15.473
Li Tb Te
1 4 5
direct
0.000 0.000 0.000 Li
0.204 0.204 0.000 Tb
0.403 0.403 0.000 Tb
0.597 0.597 0.000 Tb
0.796 0.796 0.000 Tb
0.101 0.101 0.000 Te
0.303 0.303 0.000 Te
0.500 0.500 0.000 Te
0.697 0.697 0.000 Te
0.899 0.899 0.000 Te

Stability summary: most stable a, least stable b.

a | LiTb2Te PBE optimized geometry; D(E_F) = 1.122 states/eV/atom; space-group type = P4/mmm (123); calculated density = 7.233 g cm⁻³; volume = 103.9 Å³ per cell
1.0
3.951 0.000 0.000
0.000 3.951 0.000
0.000 0.000 6.654
Li Tb Te
1 2 1
direct
0.000 0.000 0.000 Li
0.500 0.500 0.245 Tb
0.500 0.500 0.755 Tb
0.000 0.000 0.500 Te

b | LiTb2Te PBE optimized geometry; D(E_F) = 0.891 states/eV/atom; space-group type = R-3m (166); calculated density = 5.380 g cm⁻³; volume = 139.6 Å³ per cell
1.0
1.942 1.121 10.687
-1.942 1.121 10.687
0.000 -2.243 10.687
Li Tb Te
1 2 1
direct
0.000 0.000 0.000 Li
0.104 0.104 0.104 Tb
0.896 0.896 0.896 Tb
0.500 0.500 0.500 Te

c | LiTb2Te PBE optimized geometry; D(E_F) = 1.097 states/eV/atom; space-group type = P-1 (2); calculated density = 6.960 g cm⁻³; volume = 215.9 Å³ per cell
1.0
3.939 0.000 0.000
1.966 7.162 0.000
1.965 1.443 7.652
Li Tb Te
2 4 2
direct
0.080 0.052 0.286 Li
0.920 0.948 0.714 Li
0.351 0.267 0.530 Tb
0.355 0.754 0.037 Tb
0.645 0.246 0.963 Tb
0.649 0.733 0.470 Tb
0.079 0.571 0.772 Te
0.921 0.429 0.228 Te

Stability summary: most stable c, least stable b.

a | LiTbTh PBE optimized geometry; D(E_F) = 1.042 states/eV/atom; space-group type = I4mm (107); calculated density = 7.858 g cm⁻³; volume = 84.1 Å³ per cell
1.0
-1.822 1.822 6.330
1.822 -1.822 6.330
1.822 1.822 -6.330
Li Tb Th
1 1 1
direct
0.000 0.000 0.000 Li
0.653 0.653 0.000 Tb
0.339 0.339 0.000 Th

b | LiTbTh PBE optimized geometry; D(E_F) = 1.039 states/eV/atom; space-group type = Fmmm (69); calculated density = 6.967 g cm⁻³; volume = 189.7 Å³ per cell
1.0
0.000 3.710 7.909
3.232 0.000 7.909
3.232 3.710 0.000
Li Tb Th
2 2 2
direct
0.161 0.839 0.161 Li
0.839 0.161 0.839 Li
0.396 0.396 0.604 Tb
0.604 0.604 0.396 Tb
0.250 0.250 0.250 Th
0.750 0.750 0.750 Th

Stability summary: most stable a, least stable b.

a | LiTb4Tl2 PBE optimized geometry; D(E_F) = 0.892 states/eV/atom; space-group type = R-3m (166); calculated density = 8.669 g cm⁻³; volume = 201.4 Å³ per cell
1.0
2.644 1.526 8.318
-2.644 1.526 8.318
0.000 -3.053 8.318
Li Tb Tl
1 4 2
direct
0.000 0.000 0.000 Li
0.132 0.132 0.132 Tb
0.387 0.387 0.387 Tb
0.613 0.613 0.613 Tb
0.868 0.868 0.868 Tb
0.260 0.260 0.260 Tl
0.740 0.740 0.740 Tl

b | LiTb4Tl2 PBE optimized geometry; D(E_F) = 1.503 states/eV/atom; space-group type = R-3m (166); calculated density = 8.268 g cm⁻³; volume = 211.2 Å³ per cell
1.0
2.654 1.532 8.655
-2.654 1.532 8.655
0.000 -3.064 8.655
Li Tb Tl
1 4 2
direct
0.000 0.000 0.000 Li
0.219 0.219 0.219 Tb
0.371 0.371 0.371 Tb
0.629 0.629 0.629 Tb
0.781 0.781 0.781 Tb
0.097 0.097 0.097 Tl
0.903 0.903 0.903 Tl

Stability summary: most stable a, least stable b.